No. 1
# LiAcCuPt | the Alexandria database | PBE | relaxed
# Crystal system ... cubic
# Formation enthalpy at 0 K ... -0.366 eV/atom
# Density ... 9.14 Mg/m³
# Space-group type ... F-43m
data_LiAcCuPt
_cell_length_a 5.021
_cell_length_b 5.021
_cell_length_c 5.021
_cell_angle_alpha 60.00
_cell_angle_beta 60.00
_cell_angle_gamma 60.00
_space_group_name_H-M_alt 'P 1'
_space_group_IT_number 1
loop_
_space_group_symop_operation_xyz
'x,y,z'
loop_
_atom_site_label
_atom_site_type_symbol
_atom_site_fract_x
_atom_site_fract_y
_atom_site_fract_z
Li1 Li 0.000 0.000 0.000
Ac1 Ac 0.500 0.500 0.500
Cu1 Cu 0.750 0.750 0.750
Pt1 Pt 0.250 0.250 0.250

No. 2
# La4CI | the Alexandria database | PBE | relaxed
# Crystal system ... monoclinic
# Formation energy (no corrections) ... -346 meV per atom
# Density ... 5.81 Mg/m³
# Space-group type ... C2/c
data_La4CI
_cell_length_a 8.863
_cell_length_b 8.863
_cell_length_c 6.892
_cell_angle_alpha 105.01
_cell_angle_beta 105.01
_cell_angle_gamma 120.60
_space_group_name_H-M_alt 'P 1'
_space_group_IT_number 1
loop_
_space_group_symop_operation_xyz
'x,y,z'
loop_
_atom_site_label
_atom_site_type_symbol
_atom_site_fract_x
_atom_site_fract_y
_atom_site_fract_z
La1 La 0.012 0.637 0.785
La2 La 0.127 0.249 0.694
La3 La 0.249 0.127 0.194
La4 La 0.363 0.988 0.715
La5 La 0.637 0.012 0.285
La6 La 0.751 0.873 0.806
La7 La 0.873 0.751 0.306
La8 La 0.988 0.363 0.215
C1 C 0.064 0.936 0.750
C2 C 0.936 0.064 0.250
I1 I 0.426 0.574 0.250
I2 I 0.574 0.426 0.750

No. 3
# Mn2AlPd6 | the Alexandria database | PBE | relaxed
# Crystal system ... orthorhombic
# Formation enthalpy at 0 K ... -0.179 eV/atom
# Density ... 8.40 Mg/m³
# Space-group type ... Immm
data_Mn2AlPd6
_cell_length_a 7.193
_cell_length_b 7.193
_cell_length_c 7.193
_cell_angle_alpha 146.37
_cell_angle_beta 131.36
_cell_angle_gamma 60.44
_space_group_name_H-M_alt 'P 1'
_space_group_IT_number 1
loop_
_space_group_symop_operation_xyz
'x,y,z'
loop_
_atom_site_label
_atom_site_type_symbol
_atom_site_fract_x
_atom_site_fract_y
_atom_site_fract_z
Mn1 Mn 0.166 0.166 0.000
Mn2 Mn 0.834 0.834 0.000
Al1 Al 0.500 0.500 0.000
Pd1 Pd 0.089 0.336 0.754
Pd2 Pd 0.258 0.000 0.258
Pd3 Pd 0.418 0.664 0.754
Pd4 Pd 0.582 0.336 0.246
Pd5 Pd 0.742 0.000 0.742
Pd6 Pd 0.911 0.664 0.246